9
Lattice="7.724 -2.579 0.000 7.724 2.579 0.000 -2.587 0.000 7.718" Properties=species:S:1:pos:R:3 comment="Nd4Sm4Dy (GGA-PBE, relaxed)" final_energy_ev_per_atom=-4.71 pbc="T T T"
Nd 2.556 0.000 0.004
Nd 2.573 0.000 5.144
Nd 10.287 0.000 2.574
Nd 10.304 0.000 7.714
Sm -0.013 0.000 2.575
Sm 5.160 0.000 2.564
Sm 7.700 0.000 5.154
Sm 12.873 0.000 5.143
Dy 7.724 0.000 0.000